(1)
Compound: NbSnGe2
Source: the Alexandria database
Functional: PBE
Structure: relaxed

```
NbSnGe2
1.0
6.1705 0.0000 0.0000
0.0000 6.1705 0.0000
3.0853 3.0853 5.9303
Ge Sn Nb
4 2 2
Cartesian
7.7132 7.5639 4.4477
4.4787 1.5426 1.4826
4.6279 4.7771 4.4477
1.6919 4.6279 1.4826
6.1705 3.0853 2.9651
0.0000 0.0000 0.0000
3.0853 6.1705 2.9651
3.0853 3.0853 0.0000
```

Results
- Uncorrected energy: -5.313 eV/atom
- DFT formation energy: 0.51 eV per atom
- Symmetry: I-42d



(2)
Compound: Nb2Sn2Ge
Source: the Alexandria database
Functional: PBE
Structure: relaxed

```
Nb2Sn2Ge
1.0
7.0781 0.0000 0.0000
0.0000 7.0781 0.0000
0.0000 0.0000 4.1078
Ge Nb Sn
2 4 4
Cartesian
3.5391 3.5391 0.0000
0.0000 0.0000 0.0000
4.6244 1.0853 0.0000
2.4537 5.9928 0.0000
1.0853 2.4537 0.0000
5.9928 4.6244 0.0000
1.0669 4.6060 2.0539
2.4721 1.0669 2.0539
6.0112 2.4721 2.0539
4.6060 6.0112 2.0539
```

Results
- Uncorrected energy: -6.617 eV/atom
- DFT formation energy: -0.06 eV per atom
- Symmetry: P4/mbm



(3)
Compound: NbSnGe3
Source: the Alexandria database
Functional: PBE
Structure: relaxed

```
NbSnGe3
1.0
5.0496 0.0000 0.0000
0.0000 5.0496 0.0000
0.0000 0.0000 5.0496
Ge Nb Sn
3 1 1
Cartesian
0.0000 0.0000 2.5248
2.5248 0.0000 0.0000
0.0000 2.5248 0.0000
0.0000 0.0000 0.0000
2.5248 2.5248 2.5248
```

Results
- Uncorrected energy: -5.170 eV/atom
- DFT formation energy: 0.41 eV per atom
- Symmetry: Pm-3m
- Excess energy over the best structure of this formula in the dataset: 0.00 eV per formula unit



(4)
Compound: Nb3SnGe
Source: the Alexandria database
Functional: PBE
Structure: relaxed

```
Nb3SnGe
1.0
5.0445 0.0000 0.0000
0.0000 5.0445 0.0000
0.0000 0.0000 5.0445
Nb Sn Ge
3 1 1
Cartesian
2.5223 0.0000 0.0000
0.0000 0.0000 2.5223
0.0000 2.5223 0.0000
0.0000 0.0000 0.0000
2.5223 2.5223 2.5223
```

Results
- Uncorrected energy: -6.074 eV/atom
- DFT formation energy: 1.69 eV per atom
- Symmetry: Pm-3m
- Excess energy over the best structure of this formula in the dataset: 8.90 eV per formula unit



(5)
Compound: NbSnGe
Source: the Alexandria database
Functional: PBE
Structure: relaxed

```
NbSnGe
1.0
-0.8013 -0.1426 5.1566
-2.2299 -6.9270 2.1045
6.3712 -1.9473 3.5788
Nb Sn Ge
4 4 4
Cartesian
0.9876 -3.2927 5.3475
3.2632 -3.7408 3.0462
0.0768 -5.2761 7.7937
2.3524 -5.7242 5.4924
2.6160 -6.9476 8.1421
0.7240 -2.0693 2.6978
4.0079 -3.1613 5.8205
-0.6679 -5.8556 5.0194
3.9253 -1.2697 3.2174
-1.5673 -4.4437 2.2761
1.6446 -0.8202 5.5180
-1.4639 -2.6259 4.9850
```

Results
- Uncorrected energy: -6.206 eV/atom
- DFT formation energy: 0.02 eV per atom
- Symmetry: Fmmm



(6)
Compound: Nb8SnGe2
Source: the Alexandria database
Functional: PBE
Structure: relaxed

```
Nb8SnGe2
1.0
-2.8952 -1.7964 3.7301
-0.2891 -5.1778 -4.5982
6.1659 0.4669 3.1305
Nb Ge Sn
8 2 1
Cartesian
-0.1419 -4.6814 -0.8236
1.3343 -5.9785 1.2483
2.8346 -4.6666 3.0446
0.1470 -1.8407 -0.7821
3.1235 -1.8259 3.0861
2.6218 -3.4743 0.3478
1.6473 -0.5288 1.0141
0.3598 -3.0330 1.9147
1.7229 -3.4184 -2.1892
4.1539 -1.2926 0.7215
-1.4476 -0.8982 1.8651
```

Results
- Uncorrected energy: -8.571 eV/atom
- DFT formation energy: -0.04 eV per atom
- Symmetry: C2/m



(7)
Compound: Nb4Sn2Ge
Source: the Alexandria database
Functional: PBE
Structure: relaxed

```
Nb4Sn2Ge
1.0
4.6768 0.0000 0.0000
0.0000 4.6768 0.0000
2.3384 2.3384 7.2857
Sn Ge Nb
2 1 4
Cartesian
4.6768 4.6768 5.2892
2.3384 2.3384 1.9964
0.0000 0.0000 0.0000
0.0000 2.3384 0.0000
2.3384 0.0000 0.0000
2.3384 2.3384 4.8160
4.6768 4.6768 2.4697
```

Results
- Uncorrected energy: -6.972 eV/atom
- DFT formation energy: 0.59 eV per atom
- Symmetry: I4/mmm



(8)
Compound: Nb4SnGe
Source: the Alexandria database
Functional: PBE
Structure: relaxed

```
Nb4SnGe
1.0
-2.4559 -1.3796 0.1950
0.7502 -4.4905 -1.8792
1.2903 -4.1196 7.5485
Nb Ge Sn
4 1 1
Cartesian
0.4845 -3.0349 5.0739
-0.8998 -6.9549 0.7902
0.6288 -6.1158 5.5366
-1.0441 -3.8739 0.3276
0.0000 0.0000 0.0000
-0.2077 -4.9949 2.9321
```

Results
- Uncorrected energy: -8.070 eV/atom
- DFT formation energy: 0.08 eV per atom
- Symmetry: C2/m